DFT (PBE) results for a relaxed structure of CsAg2RhBr8.

The structure in extended XYZ format:
```
12
Lattice="6.409 0.000 0.000 2.328 6.318 0.000 0.372 1.054 10.051" Properties=species:S:1:pos:R:3 pbc="T T T"
Cs 0.000 0.000 0.000
Ag 3.136 2.606 2.972
Ag 5.972 4.765 7.079
Rh 0.186 0.527 5.026
Br 3.318 5.401 6.919
Br 2.184 1.986 5.306
Br 2.688 2.745 0.458
Br 3.716 5.426 3.342
Br 5.392 1.945 6.710
Br 6.420 4.626 9.593
Br 6.924 5.385 4.745
Br 5.790 1.971 3.132
```

Results
- VASP energy: -33.204 eV per cell
- Total magnetization: 0.0 μB/f.u.
- D(E_F): 13.9 states/eV per cell
- E_form (uncorrected): -0.493 eV per atom
- SG: No. 2



DFT (PBE) results for a relaxed structure of PmPr5Tm6.

The structure in extended XYZ format:
```
12
Lattice="-2.570 4.982 7.693 2.570 -4.982 7.693 2.570 4.982 -7.693" Properties=species:S:1:pos:R:3 pbc="T T T"
Pm 0.000 0.000 0.000
Pr 2.570 0.000 2.551
Pr 0.000 0.000 5.127
Pr 0.000 4.982 0.000
Pr 0.000 0.000 10.258
Pr 0.000 4.982 5.142
Tm 2.570 -2.494 5.131
Tm 2.570 2.485 0.000
Tm 0.000 2.488 2.562
Tm 2.570 2.494 5.131
Tm 0.000 2.497 7.693
Tm 0.000 7.476 2.562
```

Results
- VASP energy: -55.235 eV per cell
- Formation enthalpy at 0 K: 0.24 eV/f.u.
- Total magnetization: 0.0 μB/f.u.
- D(E_F): 16.0 states/eV per cell
- SG: No. 71



DFT (PBE) results for a relaxed structure of Rb3Ce2PuS6.

The structure in extended XYZ format:
```
12
Lattice="3.646 -6.315 0.000 3.646 6.315 0.000 -2.428 0.000 7.665" Properties=species:S:1:pos:R:3 pbc="T T T"
Rb 0.000 0.000 0.000
Rb 3.646 2.104 0.000
Rb 3.646 -2.104 0.000
Ce 2.433 4.210 3.833
Ce 2.433 -4.210 3.833
Pu 2.433 0.000 3.833
S 1.221 2.098 2.349
S 0.009 0.000 5.315
S 1.221 -2.098 2.349
S 3.644 2.098 5.316
S 4.856 0.000 2.350
S 3.644 -2.098 5.316
```

Results
- VASP energy: -74.294 eV per cell
- Total magnetization: 7.0 μB/f.u.
- D(E_F): 22.5 states/eV per cell
- E_form (uncorrected): -1.702 eV per atom
- SG: No. 12



DFT (PBE) results for a relaxed structure of La2TbMg.

The structure in extended XYZ format:
```
4
Lattice="1.767 1.020 12.746 -1.767 1.020 12.746 0.000 -2.041 12.746" Properties=species:S:1:pos:R:3 pbc="T T T"
La 0.000 0.000 3.420
La 0.000 0.000 34.819
Tb 0.000 0.000 19.120
Mg 0.000 0.000 0.000
```

Results
- VASP energy: -15.339 eV per cell
- Excess energy over the best structure of this formula in the dataset: 224 meV per atom
- Formation enthalpy at 0 K: 0.74 eV/f.u.
- Total magnetization: 0.0 μB/f.u.
- D(E_F): 5.1 states/eV per cell
- SG: No. 166



DFT (PBE) results for a relaxed structure of Y3FeTc.

The structure in extended XYZ format:
```
5
Lattice="5.061 0.000 0.000 0.000 5.061 0.000 0.000 0.000 5.061" Properties=species:S:1:pos:R:3 pbc="T T T"
Y 0.000 0.000 2.530
Y 0.000 2.530 0.000
Y 2.530 0.000 0.000
Fe 0.000 0.000 0.000
Tc 2.530 2.530 2.530
```

Results
- VASP energy: -35.106 eV per cell
- Excess energy over the best structure of this formula in the dataset: 0 meV per atom
- Formation enthalpy at 0 K: 3.11 eV/f.u.
- Total magnetization: 2.2 μB/f.u.
- D(E_F): 8.0 states/eV per cell
- SG: No. 221



DFT (PBE) results for a relaxed structure of HgC2.

The structure in extended XYZ format:
```
6
Lattice="2.627 0.000 0.000 -1.314 2.275 0.000 0.000 0.000 17.617" Properties=species:S:1:pos:R:3 pbc="T T T"
Hg 0.000 1.517 4.404
Hg 1.314 0.758 13.213
C 0.000 1.517 0.000
C 0.000 1.517 8.808
C 1.314 0.758 17.617
C 1.314 0.758 8.809
```

Results
- VASP energy: -34.274 eV per cell
- Excess energy over the best structure of this formula in the dataset: 0 meV per atom
- Formation enthalpy at 0 K: 1.61 eV/f.u.
- Total magnetization: 0.0 μB/f.u.
- D(E_F): 2.9 states/eV per cell
- SG: No. 194



DFT (PBE) results for a relaxed structure of LiPr3Co.

The structure in extended XYZ format:
```
5
Lattice="5.439 0.000 0.000 0.000 5.439 0.000 0.000 0.000 5.439" Properties=species:S:1:pos:R:3 pbc="T T T"
Li 0.000 0.000 0.000
Pr 0.000 2.720 2.720
Pr 2.720 0.000 2.720
Pr 2.720 2.720 0.000
Co 2.720 2.720 2.720
```

Results
- VASP energy: -22.886 eV per cell
- Excess energy over the best structure of this formula in the dataset: 53 meV per atom
- Formation enthalpy at 0 K: 0.47 eV/f.u.
- Total magnetization: 0.0 μB/f.u.
- D(E_F): 5.4 states/eV per cell
- SG: No. 221



DFT (PBE) results for a relaxed structure of Gd2DyBr.

The structure in extended XYZ format:
```
4
Lattice="3.553 0.000 0.000 0.000 3.553 0.000 0.000 0.000 9.535" Properties=species:S:1:pos:R:3 pbc="T T T"
Gd 0.000 0.000 2.273
Gd 0.000 0.000 7.261
Dy 1.776 1.776 4.767
Br 1.776 1.776 0.000
```

Results
- VASP energy: -36.287 eV per cell
- Excess energy over the best structure of this formula in the dataset: 77 meV per atom
- Total magnetization: 14.8 μB/f.u.
- D(E_F): 6.5 states/eV per cell
- E_form (uncorrected): -0.462 eV per atom
- SG: No. 123